[1]
SmPu2Pt9 after structural relaxation, computed with GGA-PBE.

## Properties
Formation energy from the elements, meV per atom: -807

Cell lengths 9.473, 9.473, 9.473 Å; angles 33.29, 33.29, 33.29 degrees
Atoms (fractional coordinates):
Sm (0.000, 0.000, 0.000)
Pu (0.142, 0.142, 0.142)
Pu (0.858, 0.858, 0.858)
Pt (0.081, 0.587, 0.587)
Pt (0.333, 0.333, 0.333)
Pt (0.413, 0.413, 0.919)
Pt (0.413, 0.919, 0.413)
Pt (0.500, 0.500, 0.500)
Pt (0.587, 0.081, 0.587)
Pt (0.587, 0.587, 0.081)
Pt (0.667, 0.667, 0.667)
Pt (0.919, 0.413, 0.413)

[2]
Pu2SnPt2 after structural relaxation, computed with GGA-PBE.

Cell lengths 7.686, 7.686, 3.822 Å; angles 90.00, 90.00, 90.00 degrees
Atoms (fractional coordinates):
Pu (0.173, 0.327, 0.000)
Pu (0.327, 0.827, 0.000)
Pu (0.673, 0.173, 0.000)
Pu (0.827, 0.673, 0.000)
Sn (0.000, 0.000, 0.500)
Sn (0.500, 0.500, 0.500)
Pt (0.130, 0.630, 0.500)
Pt (0.370, 0.130, 0.500)
Pt (0.630, 0.870, 0.500)
Pt (0.870, 0.370, 0.500)

no.,uncorrected energy (eV per atom),total moment (μB/atom)
1,-8.096,0.853
2,-9.730,2.061